No. 1
First-principles (PBE) data for EuGa3Rh after structural relaxation, as listed in Alexandria.

```
EuGa3Rh
1.0
-1.5493 3.7960 -2.4688
-4.3079 -2.0395 -0.4325
-1.3952 2.0822 4.0771
Rh Eu Ga
1 1 3
Cartesian
0.0000 0.0000 0.0000
-3.6262 1.9193 0.5879
-0.7746 1.8980 -1.2344
-2.1539 -1.0198 -0.2163
-0.6976 1.0411 2.0385
```

Computed properties:
The calculation puts the energy of formation from the pure elements at -0.474 eV per atom. For the total magnetic moment, the calculation gives 7.1 μB/cell. Its crystal system is cubic. For the total energy, the calculation gives -5.82 eV per atom.

---

No. 2
First-principles (PBE) data for EuGaRh2 after structural relaxation, as listed in Alexandria.

```
EuGaRh2
1.0
3.1809 0.0000 0.0000
0.0000 3.1809 0.0000
0.0000 0.0000 6.9307
Rh Ga Eu
2 1 1
Cartesian
0.0000 0.0000 1.3996
0.0000 0.0000 5.5311
1.5904 1.5904 0.0000
1.5904 1.5904 3.4653
```

Computed properties:
The calculation puts the energy of formation from the pure elements at -0.471 eV per atom. For the total magnetic moment, the calculation gives 6.8 μB/cell. Its crystal system is tetragonal. For the total energy, the calculation gives -7.47 eV per atom.

---

No. 3
First-principles (PBE) data for Eu2Ga9Rh3 after structural relaxation, as listed in Alexandria.

```
Eu2Ga9Rh3
1.0
-6.7837 -1.4835 -3.0507
3.9472 -5.6416 3.1810
-4.2764 1.8598 8.6048
Eu Ga Rh
4 18 6
Cartesian
-5.1916 -4.8001 1.2404
-1.6803 -6.1606 3.2794
-1.9214 -0.4653 7.4947
-5.4326 0.8952 5.4557
-1.2037 -3.1191 2.8589
-1.4384 -0.4627 2.1682
-3.6702 -3.0139 7.1764
-5.9093 -2.1463 5.8761
-4.5312 -4.8816 9.0984
-3.0359 -5.5318 6.0896
-8.0865 -3.5039 7.0338
-4.9759 -0.6374 8.1432
-2.5818 -0.3839 -0.3633
-3.4428 -2.2515 1.5587
-5.6745 -4.8027 6.5669
-3.3400 -1.3488 4.8514
-0.5218 -1.1112 4.7101
-2.1371 -4.6280 0.5919
-4.0771 0.2664 2.6454
-6.5912 -4.1542 4.0250
-3.7730 -3.9166 3.8837
0.9735 -1.7615 1.7013
-2.1382 0.9299 4.3024
-1.7243 -3.3427 5.4315
-3.2505 -2.8526 -0.9989
0.4139 -4.2725 1.1291
0.0000 0.0000 0.0000
-5.3887 -1.9227 3.3035
```

Computed properties:
The calculation puts the energy of formation from the pure elements at -0.639 eV per atom. For the total magnetic moment, the calculation gives 27.6 μB/cell. Its crystal system is orthorhombic. For the total energy, the calculation gives -5.63 eV per atom.

---

Q: Among the records above, which one has the lowest total magnetic moment?
A: EuGaRh2

---

Q: The lowest energy of formation from the pure elements belongs to which entry?
A: Eu2Ga9Rh3

---

Copy entry 2 word for word.
First-principles (PBE) data for EuGaRh2 after structural relaxation, as listed in Alexandria.

```
EuGaRh2
1.0
3.1809 0.0000 0.0000
0.0000 3.1809 0.0000
0.0000 0.0000 6.9307
Rh Ga Eu
2 1 1
Cartesian
0.0000 0.0000 1.3996
0.0000 0.0000 5.5311
1.5904 1.5904 0.0000
1.5904 1.5904 3.4653
```

Computed properties:
The calculation puts the energy of formation from the pure elements at -0.471 eV per atom. For the total magnetic moment, the calculation gives 6.8 μB/cell. Its crystal system is tetragonal. For the total energy, the calculation gives -7.47 eV per atom.

---

Q: Which formula does entry 1 have?
A: EuGa3Rh